{"formula": "La2TbAl12Co3", "functional": "PBE-GGA", "state": "optimized geometry", "cell": [[-3.672, -1.671, -6.890], [-5.589, -5.695, 0.291], [-7.566, 2.470, -0.635]], "species": ["La", "La", "Tb", "Al", "Al", "Al", "Al", "Al", "Al", "Al", "Al", "Al", "Al", "Al", "Al", "Co", "Co", "Co"], "fractional_positions": [[0.583, 0.583, 0.583], [0.417, 0.417, 0.417], [0.000, 0.000, 0.000], [0.275, 0.275, 0.907], [0.839, 0.839, 0.473], [0.473, 0.839, 0.839], [0.907, 0.275, 0.275], [0.839, 0.473, 0.839], [0.275, 0.907, 0.275], [0.725, 0.725, 0.093], [0.161, 0.161, 0.527], [0.527, 0.161, 0.161], [0.093, 0.725, 0.725], [0.161, 0.527, 0.161], [0.725, 0.093, 0.725], [0.500, 0.000, 0.000], [0.000, 0.500, 0.000], [0.000, 0.000, 0.500]], "mass_density_g_cm3": 3.981, "e_form_mev_per_atom": -22, "vol_a3_per_cell": 391, "dos_ef_per_ev_atom": 0.64, "spacegroup": "R-3m, No. 166", "total_energy_ev_per_atom": -4.506, "total_magnetization_mub_per_cell": 0.00}


{"formula": "La2AlCoTc", "functional": "PBE-GGA", "state": "optimized geometry", "cell": [[-1.900, 4.174, 2.923], [-4.113, -0.786, -1.550], [-0.935, -3.352, 4.180]], "species": ["Al", "Co", "Tc", "La", "La"], "fractional_positions": [[0.500, 0.500, 0.500], [0.000, 0.500, 0.000], [0.000, 0.000, 0.000], [0.000, 0.000, 0.500], [0.500, 0.000, 0.000]], "mass_density_g_cm3": 5.805, "e_form_mev_per_atom": 340, "vol_a3_per_cell": 132, "dos_ef_per_ev_atom": 0.75, "spacegroup": "P4/mmm, No. 123", "total_energy_ev_per_atom": -5.874, "total_magnetization_mub_per_cell": 0.00}


{"formula": "La2AlCoTe", "functional": "PBE-GGA", "state": "optimized geometry", "cell": [[-4.848, 1.077, 1.795], [1.599, -0.403, 4.559], [1.162, 5.151, 0.048]], "species": ["Te", "Co", "Al", "La", "La"], "fractional_positions": [[0.000, 0.500, 0.000], [0.000, 0.000, 0.000], [0.500, 0.500, 0.500], [0.000, 0.000, 0.500], [0.500, 0.000, 0.000]], "mass_density_g_cm3": 6.036, "vol_a3_per_cell": 135, "dos_ef_per_ev_atom": 0.71, "spacegroup": "P4/mmm, No. 123", "total_energy_ev_per_atom": -5.100, "raw_formation_energy_ev_per_atom": -0.3310, "total_magnetization_mub_per_cell": 0.00, "polymorph_energy_mev_per_atom": 410}


{"formula": "La2AlCoTe", "functional": "PBE-GGA", "state": "optimized geometry", "cell": [[-2.176, -4.843, -0.678], [3.725, -2.122, 3.206], [-2.724, 0.715, 3.637]], "species": ["Te", "Co", "Al", "La", "La"], "fractional_positions": [[0.500, 0.500, 0.500], [0.000, 0.000, 0.000], [0.000, 0.000, 0.500], [0.000, 0.500, 0.000], [0.500, 0.000, 0.000]], "mass_density_g_cm3": 6.190, "vol_a3_per_cell": 132, "dos_ef_per_ev_atom": 0.64, "spacegroup": "P4/mmm, No. 123", "total_energy_ev_per_atom": -5.510, "raw_formation_energy_ev_per_atom": -0.7408, "total_magnetization_mub_per_cell": 0.00, "polymorph_energy_mev_per_atom": 0}


{"formula": "La2AlTlCo", "functional": "PBE-GGA", "state": "optimized geometry", "cell": [[-3.485, 3.904, -0.728], [-2.808, -1.737, 4.125], [2.516, 2.783, 2.884]], "species": ["Tl", "Co", "Al", "La", "La"], "fractional_positions": [[0.500, 0.500, 0.500], [0.000, 0.000, 0.000], [0.000, 0.000, 0.500], [0.000, 0.500, 0.000], [0.500, 0.000, 0.000]], "mass_density_g_cm3": 7.141, "e_form_mev_per_atom": -344, "vol_a3_per_cell": 132, "dos_ef_per_ev_atom": 0.92, "spacegroup": "P4/mmm, No. 123", "total_energy_ev_per_atom": -4.958, "total_magnetization_mub_per_cell": 0.00}


{"formula": "LaAl2ZnCo", "functional": "PBE-GGA", "state": "optimized geometry", "cell": [[4.544, 0.000, 0.000], [0.000, 4.544, 0.000], [0.000, 0.000, 4.684]], "species": ["Zn", "Co", "Al", "Al", "La"], "fractional_positions": [[0.000, 0.000, 0.500], [0.000, 0.000, 0.000], [0.000, 0.500, 0.000], [0.500, 0.000, 0.000], [0.500, 0.500, 0.500]], "mass_density_g_cm3": 5.448, "e_form_mev_per_atom": -400, "vol_a3_per_cell": 97, "dos_ef_per_ev_atom": 0.24, "spacegroup": "P4/mmm, No. 123", "total_energy_ev_per_atom": -4.558, "total_magnetization_mub_per_cell": 0.00}


{"formula": "LaAlZn2Co", "functional": "PBE-GGA", "state": "optimized geometry", "cell": [[4.655, 0.000, 0.000], [0.000, 4.655, 0.000], [0.000, 0.000, 4.510]], "species": ["Zn", "Zn", "Co", "Al", "La"], "fractional_positions": [[0.000, 0.500, 0.000], [0.500, 0.000, 0.000], [0.000, 0.000, 0.000], [0.000, 0.000, 0.500], [0.500, 0.500, 0.500]], "mass_density_g_cm3": 6.042, "e_form_mev_per_atom": -295, "vol_a3_per_cell": 98, "dos_ef_per_ev_atom": 0.81, "spacegroup": "P4/mmm, No. 123", "total_energy_ev_per_atom": -3.960, "total_magnetization_mub_per_cell": 0.01}


{"formula": "Li4AlCo", "functional": "PBE-GGA", "state": "optimized geometry", "cell": [[0.000, 3.412, 3.412], [3.412, 0.000, 3.412], [3.412, 3.412, 0.000]], "species": ["Li", "Li", "Li", "Li", "Al", "Co"], "fractional_positions": [[0.878, 0.374, 0.374], [0.374, 0.374, 0.878], [0.374, 0.878, 0.374], [0.374, 0.374, 0.374], [0.750, 0.750, 0.750], [0.000, 0.000, 0.000]], "mass_density_g_cm3": 2.377, "e_form_mev_per_atom": 205, "vol_a3_per_cell": 79, "dos_ef_per_ev_atom": 0.71, "spacegroup": "F-43m, No. 216", "total_energy_ev_per_atom": -2.879, "total_magnetization_mub_per_cell": 0.83}